Model P:
# Sc2CuMo2 PBE optimized geometry
data_Sc2CuMo2
_chemical_formula_sum 'Sc4 Cu2 Mo4'
_cell_length_a 3.776
_cell_length_b 3.776
_cell_length_c 13.511
_cell_angle_alpha 90.00
_cell_angle_beta 90.00
_cell_angle_gamma 90.00
_space_group_name_H-M_alt 'I 4/m m m'
_space_group_IT_number 139
_space_group_name_Hall '-I 4 2'
loop_
_atom_site_label
_atom_site_fract_x
_atom_site_fract_y
_atom_site_fract_z
_atom_site_occupancy
Sc1 0.000 0.500 0.250 1
Cu1 0.000 0.000 0.000 1
Mo1 0.000 0.000 0.418 1
# Density of states at the Fermi level   0.843 states/eV/atom
# Theoretical density   5.95 g/cm3
# Total moment   0.000 Bohr magnetons per cell



Model Q:
# Sc2CuMo2 PBE optimized geometry
data_Sc2CuMo2
_chemical_formula_sum 'Sc4 Cu2 Mo4'
_cell_length_a 6.736
_cell_length_b 6.736
_cell_length_c 4.121
_cell_angle_alpha 90.00
_cell_angle_beta 90.00
_cell_angle_gamma 90.00
_space_group_name_H-M_alt 'P 4/m b m'
_space_group_IT_number 127
_space_group_name_Hall '-P 4 2ab'
loop_
_atom_site_label
_atom_site_fract_x
_atom_site_fract_y
_atom_site_fract_z
_atom_site_occupancy
Sc1 0.175 0.325 0.000 1
Cu1 0.000 0.000 0.500 1
Mo1 0.124 0.624 0.500 1
# Density of states at the Fermi level   1.260 states/eV/atom
# Theoretical density   6.13 g/cm3
# Total moment   0.000 Bohr magnetons per cell



The structure with the most favorable energy is model Q; the runner-up is 706 meV per atom above it.



Model P:
# ScCuMo3 PBE optimized geometry
data_ScCuMo3
_chemical_formula_sum 'Sc1 Cu1 Mo3'
_cell_length_a 4.571
_cell_length_b 4.571
_cell_length_c 4.571
_cell_angle_alpha 90.00
_cell_angle_beta 90.00
_cell_angle_gamma 90.00
_space_group_name_H-M_alt 'P m -3 m'
_space_group_IT_number 221
_space_group_name_Hall '-P 4 2 3'
loop_
_atom_site_label
_atom_site_fract_x
_atom_site_fract_y
_atom_site_fract_z
_atom_site_occupancy
Sc1 0.000 0.000 0.000 1
Cu1 0.500 0.500 0.500 1
Mo1 0.000 0.000 0.500 1
# Density of states at the Fermi level   1.128 states/eV/atom
# Theoretical density   6.89 g/cm3
# Total moment   0.000 Bohr magnetons per cell



Model Q:
# ScCuMo3 PBE optimized geometry
data_ScCuMo3
_chemical_formula_sum 'Sc1 Cu1 Mo3'
_cell_length_a 4.578
_cell_length_b 4.578
_cell_length_c 4.578
_cell_angle_alpha 90.00
_cell_angle_beta 90.00
_cell_angle_gamma 90.00
_space_group_name_H-M_alt 'P m -3 m'
_space_group_IT_number 221
_space_group_name_Hall '-P 4 2 3'
loop_
_atom_site_label
_atom_site_fract_x
_atom_site_fract_y
_atom_site_fract_z
_atom_site_occupancy
Sc1 0.000 0.000 0.000 1
Cu1 0.500 0.500 0.500 1
Mo1 0.000 0.500 0.500 1
# Density of states at the Fermi level   1.882 states/eV/atom
# Theoretical density   6.86 g/cm3
# Total moment   0.000 Bohr magnetons per cell



The structure with the most favorable energy is model Q; the runner-up is 788 meV per atom above it.



Model P:
# CuMoSe PBE optimized geometry
data_CuMoSe
_chemical_formula_sum 'Cu4 Mo4 Se4'
_cell_length_a 8.240
_cell_length_b 3.168
_cell_length_c 9.059
_cell_angle_alpha 90.00
_cell_angle_beta 98.90
_cell_angle_gamma 90.00
_space_group_name_H-M_alt 'C 1 2/m 1'
_space_group_IT_number 12
_space_group_name_Hall '-C 2y'
loop_
_atom_site_label
_atom_site_fract_x
_atom_site_fract_y
_atom_site_fract_z
_atom_site_occupancy
Cu1 0.118 0.000 0.276 1
Mo1 0.133 0.000 0.576 1
Se1 0.119 0.500 0.803 1
# Density of states at the Fermi level   0.118 states/eV/atom
# Theoretical density   6.78 g/cm3
# Total moment   0.000 Bohr magnetons per cell



Model Q:
# CuMoSe PBE optimized geometry
data_CuMoSe
_chemical_formula_sum 'Cu4 Mo4 Se4'
_cell_length_a 5.974
_cell_length_b 5.974
_cell_length_c 5.974
_cell_angle_alpha 90.00
_cell_angle_beta 90.00
_cell_angle_gamma 90.00
_space_group_name_H-M_alt 'F -4 3 m'
_space_group_IT_number 216
_space_group_name_Hall 'F -4 2 3'
loop_
_atom_site_label
_atom_site_fract_x
_atom_site_fract_y
_atom_site_fract_z
_atom_site_occupancy
Cu1 0.000 0.000 0.000 1
Mo1 0.250 0.250 0.250 1
Se1 0.000 0.000 0.500 1
# Density of states at the Fermi level   0.928 states/eV/atom
# Theoretical density   7.43 g/cm3
# Total moment   3.089 Bohr magnetons per cell



The structure with the most favorable energy is model P; the runner-up is 439 meV per atom above it.



Model P:
# CuMoSe PBE optimized geometry
data_CuMoSe
_chemical_formula_sum 'Cu4 Mo4 Se4'
_cell_length_a 6.050
_cell_length_b 6.050
_cell_length_c 6.050
_cell_angle_alpha 90.00
_cell_angle_beta 90.00
_cell_angle_gamma 90.00
_space_group_name_H-M_alt 'F -4 3 m'
_space_group_IT_number 216
_space_group_name_Hall 'F -4 2 3'
loop_
_atom_site_label
_atom_site_fract_x
_atom_site_fract_y
_atom_site_fract_z
_atom_site_occupancy
Cu1 0.000 0.000 0.000 1
Mo1 0.250 0.250 0.250 1
Se1 0.250 0.250 0.750 1
# Density of states at the Fermi level   1.220 states/eV/atom
# Theoretical density   7.15 g/cm3
# Total moment   12.953 Bohr magnetons per cell



Model Q:
# CuMoSe PBE optimized geometry
data_CuMoSe
_chemical_formula_sum 'Cu1 Mo1 Se1'
_cell_length_a 3.0589
_cell_length_b 3.0589
_cell_length_c 6.3115
_cell_angle_alpha 90.00
_cell_angle_beta 90.00
_cell_angle_gamma 120.00
_space_group_name_H-M_alt 'P 3 m 1'
_space_group_IT_number 156
_space_group_name_Hall 'P 3 -2"'
loop_
_atom_site_label
_atom_site_fract_x
_atom_site_fract_y
_atom_site_fract_z
_atom_site_occupancy
Cu1 0.0000 0.0000 0.0000 1
Mo1 0.6667 0.3333 0.3265 1
Se1 0.3333 0.6667 0.6079 1
# Density of states at the Fermi level   0.792 states/eV/atom
# Theoretical density   7.74 g/cm3
# Total moment   0.000 Bohr magnetons per cell



The structure with the most favorable energy is model Q; the runner-up is 712 meV per atom above it.



Model P:
# CuMoSe PBE optimized geometry
data_CuMoSe
_chemical_formula_sum 'Cu1 Mo1 Se1'
_cell_length_a 4.5093
_cell_length_b 4.5093
_cell_length_c 2.6392
_cell_angle_alpha 90.00
_cell_angle_beta 90.00
_cell_angle_gamma 120.00
_space_group_name_H-M_alt 'P -6 m 2'
_space_group_IT_number 187
_space_group_name_Hall 'P -6 2'
loop_
_atom_site_label
_atom_site_fract_x
_atom_site_fract_y
_atom_site_fract_z
_atom_site_occupancy
Cu1 0.0000 0.0000 0.0000 1
Mo1 0.3333 0.6667 0.5000 1
Se1 0.6667 0.3333 0.5000 1
# Density of states at the Fermi level   0.609 states/eV/atom
# Theoretical density   8.52 g/cm3
# Total moment   0.000 Bohr magnetons per cell



Model Q:
# CuMoSe PBE optimized geometry
data_CuMoSe
_chemical_formula_sum 'Cu4 Mo4 Se4'
_cell_length_a 3.323
_cell_length_b 4.661
_cell_length_c 13.392
_cell_angle_alpha 90.00
_cell_angle_beta 90.00
_cell_angle_gamma 90.00
_space_group_name_H-M_alt 'F m m 2'
_space_group_IT_number 42
_space_group_name_Hall 'F 2 -2'
loop_
_atom_site_label
_atom_site_fract_x
_atom_site_fract_y
_atom_site_fract_z
_atom_site_occupancy
Cu1 0.000 0.000 0.000 1
Mo1 0.000 0.000 0.352 1
Se1 0.000 0.000 0.707 1
# Density of states at the Fermi level   0.719 states/eV/atom
# Theoretical density   7.64 g/cm3
# Total moment   0.000 Bohr magnetons per cell



Model R:
# CuMoSe PBE optimized geometry
data_CuMoSe
_chemical_formula_sum 'Cu2 Mo2 Se2'
_cell_length_a 3.156
_cell_length_b 3.156
_cell_length_c 9.068
_cell_angle_alpha 90.00
_cell_angle_beta 90.00
_cell_angle_gamma 90.00
_space_group_name_H-M_alt 'I 4 m m'
_space_group_IT_number 107
_space_group_name_Hall 'I 4 -2'
loop_
_atom_site_label
_atom_site_fract_x
_atom_site_fract_y
_atom_site_fract_z
_atom_site_occupancy
Cu1 0.000 0.000 0.000 1
Mo1 0.000 0.000 0.680 1
Se1 0.000 0.000 0.330 1
# Density of states at the Fermi level   1.215 states/eV/atom
# Theoretical density   8.77 g/cm3
# Total moment   0.000 Bohr magnetons per cell



The structure with the most favorable energy is model R; the runner-up is 206 meV per atom above it.



Model P:
# CuSi3Mo PBE optimized geometry
data_CuSi3Mo
_chemical_formula_sum 'Cu1 Si3 Mo1'
_cell_length_a 4.717
_cell_length_b 4.717
_cell_length_c 4.717
_cell_angle_alpha 90.00
_cell_angle_beta 90.00
_cell_angle_gamma 90.00
_space_group_name_H-M_alt 'P m -3 m'
_space_group_IT_number 221
_space_group_name_Hall '-P 4 2 3'
loop_
_atom_site_label
_atom_site_fract_x
_atom_site_fract_y
_atom_site_fract_z
_atom_site_occupancy
Cu1 0.000 0.000 0.000 1
Si1 0.000 0.500 0.500 1
Mo1 0.500 0.500 0.500 1
# Density of states at the Fermi level   0.810 states/eV/atom
# Theoretical density   3.86 g/cm3
# Total moment   0.000 Bohr magnetons per cell



Model Q:
# CuSi3Mo PBE optimized geometry
data_CuSi3Mo
_chemical_formula_sum 'Cu1 Si3 Mo1'
_cell_length_a 4.436
_cell_length_b 4.436
_cell_length_c 4.436
_cell_angle_alpha 90.00
_cell_angle_beta 90.00
_cell_angle_gamma 90.00
_space_group_name_H-M_alt 'P m -3 m'
_space_group_IT_number 221
_space_group_name_Hall '-P 4 2 3'
loop_
_atom_site_label
_atom_site_fract_x
_atom_site_fract_y
_atom_site_fract_z
_atom_site_occupancy
Cu1 0.000 0.000 0.000 1
Si1 0.000 0.000 0.500 1
Mo1 0.500 0.500 0.500 1
# Density of states at the Fermi level   0.746 states/eV/atom
# Theoretical density   4.64 g/cm3
# Total moment   2.780 Bohr magnetons per cell



The structure with the most favorable energy is model P; the runner-up is 368 meV per atom above it.